# Al2FeAu | the Alexandria database | PBEsol | optimized geometry
# - magnetization (μB/cell) = 1.9
# - symmetry = Pmm2, No. 25
# - ΔE_f (eV/atom) = -0.207
# - crystal system = orthorhombic
# - total DFT energy (no corrections) (eV per atom) = -5.474
data_Al2FeAu
_chemical_formula_sum 'Al2 Fe1 Au1'
_cell_length_a 2.924
_cell_length_b 3.660
_cell_length_c 5.340
_cell_angle_alpha 90.00
_cell_angle_beta 90.00
_cell_angle_gamma 90.00
_space_group_name_H-M_alt 'P 1'
_space_group_IT_number 1
loop_
_space_group_symop_operation_xyz
'x,y,z'
loop_
_atom_site_label
_atom_site_fract_x
_atom_site_fract_y
_atom_site_fract_z
Al1 0.000 0.000 0.000
Al2 0.500 0.500 0.290
Fe1 0.500 0.500 0.816
Au1 0.000 0.000 0.514

***

# AlFe2Au | the Alexandria database | PBEsol | optimized geometry
# - magnetization (μB/cell) = 4.5
# - symmetry = P4/mmm, No. 123
# - ΔE_f (eV/atom) = -0.139
# - crystal system = tetragonal
# - total DFT energy (no corrections) (eV per atom) = -6.625
data_AlFe2Au
_chemical_formula_sum 'Al1 Fe2 Au1'
_cell_length_a 3.647
_cell_length_b 3.647
_cell_length_c 3.960
_cell_angle_alpha 90.00
_cell_angle_beta 90.00
_cell_angle_gamma 90.00
_space_group_name_H-M_alt 'P 1'
_space_group_IT_number 1
loop_
_space_group_symop_operation_xyz
'x,y,z'
loop_
_atom_site_label
_atom_site_fract_x
_atom_site_fract_y
_atom_site_fract_z
Al1 0.000 0.000 0.000
Fe1 0.000 0.500 0.500
Fe2 0.500 0.000 0.500
Au1 0.500 0.500 0.000

***

# AlFe2Au | the Alexandria database | PBEsol | optimized geometry
# - magnetization (μB/cell) = 4.6
# - symmetry = P4/mmm, No. 123
# - ΔE_f (eV/atom) = -0.024
# - crystal system = tetragonal
# - total DFT energy (no corrections) (eV per atom) = -6.510
data_AlFe2Au
_chemical_formula_sum 'Al1 Fe2 Au1'
_cell_length_a 2.710
_cell_length_b 2.710
_cell_length_c 7.200
_cell_angle_alpha 90.00
_cell_angle_beta 90.00
_cell_angle_gamma 90.00
_space_group_name_H-M_alt 'P 1'
_space_group_IT_number 1
loop_
_space_group_symop_operation_xyz
'x,y,z'
loop_
_atom_site_label
_atom_site_fract_x
_atom_site_fract_y
_atom_site_fract_z
Al1 0.000 0.000 0.000
Fe1 0.500 0.500 0.231
Fe2 0.500 0.500 0.769
Au1 0.000 0.000 0.500

***

# AlFe2Au | the Alexandria database | PBEsol | optimized geometry
# - magnetization (μB/cell) = 4.6
# - symmetry = P4mm, No. 99
# - ΔE_f (eV/atom) = -0.131
# - crystal system = tetragonal
# - total DFT energy (no corrections) (eV per atom) = -6.616
data_AlFe2Au
_chemical_formula_sum 'Al1 Fe2 Au1'
_cell_length_a 3.009
_cell_length_b 3.009
_cell_length_c 5.838
_cell_angle_alpha 90.00
_cell_angle_beta 90.00
_cell_angle_gamma 90.00
_space_group_name_H-M_alt 'P 1'
_space_group_IT_number 1
loop_
_space_group_symop_operation_xyz
'x,y,z'
loop_
_atom_site_label
_atom_site_fract_x
_atom_site_fract_y
_atom_site_fract_z
Al1 0.000 0.000 0.000
Fe1 0.000 0.000 0.563
Fe2 0.500 0.500 0.764
Au1 0.500 0.500 0.276

***

# Al2FeAu | the Alexandria database | PBEsol | optimized geometry
# - magnetization (μB/cell) = 1.3
# - symmetry = Fm-3m, No. 225
# - ΔE_f (eV/atom) = -0.275
# - crystal system = cubic
# - total DFT energy (no corrections) (eV per atom) = -5.543
data_Al2FeAu
_chemical_formula_sum 'Al2 Fe1 Au1'
_cell_length_a 4.256
_cell_length_b 4.256
_cell_length_c 4.256
_cell_angle_alpha 60.00
_cell_angle_beta 60.00
_cell_angle_gamma 60.00
_space_group_name_H-M_alt 'P 1'
_space_group_IT_number 1
loop_
_space_group_symop_operation_xyz
'x,y,z'
loop_
_atom_site_label
_atom_site_fract_x
_atom_site_fract_y
_atom_site_fract_z
Al1 0.250 0.250 0.250
Al2 0.750 0.750 0.750
Fe1 0.000 0.000 0.000
Au1 0.500 0.500 0.500

***

# AlFe4Au | the Alexandria database | PBEsol | optimized geometry
# - magnetization (μB/cell) = 8.0
# - symmetry = F-43m, No. 216
# - ΔE_f (eV/atom) = 0.044
# - crystal system = cubic
# - total DFT energy (no corrections) (eV per atom) = -7.268
data_AlFe4Au
_chemical_formula_sum 'Al1 Fe4 Au1'
_cell_length_a 4.716
_cell_length_b 4.716
_cell_length_c 4.716
_cell_angle_alpha 60.00
_cell_angle_beta 60.00
_cell_angle_gamma 60.00
_space_group_name_H-M_alt 'P 1'
_space_group_IT_number 1
loop_
_space_group_symop_operation_xyz
'x,y,z'
loop_
_atom_site_label
_atom_site_fract_x
_atom_site_fract_y
_atom_site_fract_z
Al1 0.000 0.000 0.000
Fe1 0.374 0.374 0.374
Fe2 0.374 0.374 0.877
Fe3 0.374 0.877 0.374
Fe4 0.877 0.374 0.374
Au1 0.750 0.750 0.750

***

# AlGa2Au2 | the Alexandria database | PBEsol | optimized geometry
# - magnetization (μB/cell) = 0.0
# - symmetry = I4/mmm, No. 139
# - ΔE_f (eV/atom) = -0.093
# - crystal system = tetragonal
# - total DFT energy (no corrections) (eV per atom) = -3.817
data_AlGa2Au2
_chemical_formula_sum 'Al1 Ga2 Au2'
_cell_length_a 6.891
_cell_length_b 6.891
_cell_length_c 6.891
_cell_angle_alpha 148.64
_cell_angle_beta 148.64
_cell_angle_gamma 44.94
_space_group_name_H-M_alt 'P 1'
_space_group_IT_number 1
loop_
_space_group_symop_operation_xyz
'x,y,z'
loop_
_atom_site_label
_atom_site_fract_x
_atom_site_fract_y
_atom_site_fract_z
Al1 0.000 0.000 0.000
Ga1 0.250 0.750 0.500
Ga2 0.750 0.250 0.500
Au1 0.396 0.396 0.000
Au2 0.604 0.604 0.000

***

# AlGa3Au | the Alexandria database | PBEsol | optimized geometry
# - magnetization (μB/cell) = 0.0
# - symmetry = Pm-3m, No. 221
# - ΔE_f (eV/atom) = 0.502
# - crystal system = cubic
# - total DFT energy (no corrections) (eV per atom) = -3.105
data_AlGa3Au
_chemical_formula_sum 'Al1 Ga3 Au1'
_cell_length_a 4.815
_cell_length_b 4.815
_cell_length_c 4.815
_cell_angle_alpha 90.00
_cell_angle_beta 90.00
_cell_angle_gamma 90.00
_space_group_name_H-M_alt 'P 1'
_space_group_IT_number 1
loop_
_space_group_symop_operation_xyz
'x,y,z'
loop_
_atom_site_label
_atom_site_fract_x
_atom_site_fract_y
_atom_site_fract_z
Al1 0.000 0.000 0.000
Ga1 0.000 0.000 0.500
Ga2 0.000 0.500 0.000
Ga3 0.500 0.000 0.000
Au1 0.500 0.500 0.500